A plane-wave DFT calculation with GGA-PBE was carried out for a relaxed Tc2HgSe crystal.

Unit cell a=9.734 b=9.734 c=9.734 alpha=17.48 beta=17.48 gamma=17.48
Fractional positions:
Tc 0.738 0.738 0.738
Hg 0.492 0.492 0.492
Se 0.268 0.268 0.268
Tc 0.002 0.002 0.002

Properties
Energy above the lowest structure with this stoichiometry   65 meV per atom
M_tot   0.00 μB per formula unit
Crystal system   trigonal
Energy relative to the elements, uncorrected   0.23 eV per atom